A geometry-optimized NaAu structure, computed with PBE.

Geometry as CIF:
```
data_NaAu
_chemical_formula_sum 'Na8 Au8'
_space_group_name_H-M_alt 'P b c m'
_space_group_IT_number 57
_cell_length_a 5.769
_cell_length_b 11.288
_cell_length_c 5.492
_cell_angle_alpha 90.00
_cell_angle_beta 90.00
_cell_angle_gamma 90.00
loop_
_space_group_symop_operation_xyz
'x,y,z'
'-x,-y,-z'
'-x,-y,z+1/2'
'x,y,-z+1/2'
'x,-y+1/2,-z'
'-x,y+1/2,z'
'-x,y+1/2,-z+1/2'
'x,-y+1/2,z+1/2'
loop_
_atom_site_label
_atom_site_type_symbol
_atom_site_fract_x
_atom_site_fract_y
_atom_site_fract_z
Na1 Na 0.087 0.175 0.250
Na2 Na 0.348 0.011 0.750
Au1 Au 0.145 0.583 0.750
Au2 Au 0.440 0.750 0.000
```

Properties
Formation energy from the elements   -0.3142 eV/atom
Calculated total energy   -41.80 eV/cell

A geometry-optimized TlCoTe2 structure, computed with PBE.

Geometry as CIF:
```
data_TlCoTe2
_chemical_formula_sum 'Tl2 Co2 Te4'
_space_group_name_H-M_alt 'C m m m'
_space_group_IT_number 65
_space_group_name_Hall '-C 2 2'
_cell_length_a 6.010
_cell_length_b 8.337
_cell_length_c 4.241
_cell_angle_alpha 90.00
_cell_angle_beta 90.00
_cell_angle_gamma 90.00
loop_
_atom_site_label
_atom_site_type_symbol
_atom_site_fract_x
_atom_site_fract_y
_atom_site_fract_z
Tl1 Tl 0.000 0.000 0.000
Co1 Co 0.000 0.500 0.000
Te1 Te 0.250 0.250 0.500
```

Properties
E_form (uncorrected)   0.54 eV/atom
Calculated total energy   -27.21 eV/cell

A geometry-optimized YFe2Si structure, computed with PBE.

Geometry as CIF:
```
data_YFe2Si
_chemical_formula_sum 'Y2 Fe4 Si2'
_space_group_name_H-M_alt 'I m m 2'
_space_group_IT_number 44
_cell_length_a 3.170
_cell_length_b 4.509
_cell_length_c 8.826
_cell_angle_alpha 90.00
_cell_angle_beta 90.00
_cell_angle_gamma 90.00
loop_
_space_group_symop_operation_xyz
'x,y,z'
'-x,-y,z'
'-x,y,z'
'x,-y,z'
'x+1/2,y+1/2,z+1/2'
'-x+1/2,-y+1/2,z+1/2'
'-x+1/2,y+1/2,z+1/2'
'x+1/2,-y+1/2,z+1/2'
loop_
_atom_site_label
_atom_site_type_symbol
_atom_site_fract_x
_atom_site_fract_y
_atom_site_fract_z
Y1 Y 0.000 0.000 0.000
Fe1 Fe 0.000 0.000 0.502
Fe2 Fe 0.000 0.500 0.780
Si1 Si 0.000 0.500 0.216
```

Properties
E_form (uncorrected)   0.02 eV/atom
Calculated total energy   -57.50 eV/cell

A geometry-optimized AlTePIr2 structure, computed with PBE.

Geometry as CIF:
```
data_AlTePIr2
_chemical_formula_sum 'Al1 Te1 P1 Ir2'
_space_group_name_H-M_alt 'P 4/m m m'
_space_group_IT_number 123
_space_group_name_Hall '-P 4 2'
_cell_length_a 4.896
_cell_length_b 4.896
_cell_length_c 5.048
_cell_angle_alpha 90.00
_cell_angle_beta 90.00
_cell_angle_gamma 90.00
loop_
_atom_site_label
_atom_site_type_symbol
_atom_site_fract_x
_atom_site_fract_y
_atom_site_fract_z
Al1 Al 0.000 0.000 0.000
Te1 Te 0.000 0.000 0.500
P1 P 0.500 0.500 0.000
Ir1 Ir 0.000 0.500 0.500
```

Properties
E_form (uncorrected)   1.72 eV/atom
Calculated total energy   -21.40 eV/cell

A geometry-optimized PmTmAlHg structure, computed with PBE.

Geometry as CIF:
```
data_PmTmAlHg
_chemical_formula_sum 'Pm1 Tm1 Al1 Hg1'
_space_group_name_H-M_alt 'P 4 m m'
_space_group_IT_number 99
_cell_length_a 3.623
_cell_length_b 3.623
_cell_length_c 7.633
_cell_angle_alpha 90.00
_cell_angle_beta 90.00
_cell_angle_gamma 90.00
loop_
_space_group_symop_operation_xyz
'x,y,z'
'-y,x,z'
'-x,-y,z'
'y,-x,z'
'-x,y,z'
'y,x,z'
'x,-y,z'
'-y,-x,z'
loop_
_atom_site_label
_atom_site_type_symbol
_atom_site_fract_x
_atom_site_fract_y
_atom_site_fract_z
Pm1 Pm 0.000 0.000 0.000
Tm1 Tm 0.000 0.000 0.520
Al1 Al 0.500 0.500 0.750
Hg1 Hg 0.500 0.500 0.286
```

Properties
Formation energy from the elements   -0.4301 eV/atom
Calculated total energy   -14.99 eV/cell
Offset from the most stable computed form   0.000 eV/atom

A geometry-optimized TaMnCo10 structure, computed with PBE.

Geometry as CIF:
```
data_TaMnCo10
_chemical_formula_sum 'Ta1 Mn1 Co10'
_space_group_name_H-M_alt 'P m m m'
_space_group_IT_number 47
_cell_length_a 4.005
_cell_length_b 4.653
_cell_length_c 8.010
_cell_angle_alpha 90.00
_cell_angle_beta 90.00
_cell_angle_gamma 90.00
loop_
_space_group_symop_operation_xyz
'x,y,z'
'-x,-y,-z'
'-x,-y,z'
'x,y,-z'
'x,-y,-z'
'-x,y,z'
'-x,y,-z'
'x,-y,z'
loop_
_atom_site_label
_atom_site_type_symbol
_atom_site_fract_x
_atom_site_fract_y
_atom_site_fract_z
Ta1 Ta 0.000 0.000 0.000
Mn1 Mn 0.000 0.500 0.500
Co1 Co 0.000 0.000 0.336
Co2 Co 0.000 0.500 0.170
Co3 Co 0.500 0.000 0.500
Co4 Co 0.500 0.247 0.246
Co5 Co 0.500 0.500 0.000
```

Properties
Formation energy from the elements   0.1604 eV/atom
Calculated total energy   -90.16 eV/cell

Number 1: total magnetization 0.00 μB per atom, N(E_F) 3.258 states/eV/cell. Number 2: total magnetization 0.54 μB per atom, N(E_F) 11.819 states/eV/cell. Number 3: total magnetization 0.86 μB per atom, N(E_F) 4.498 states/eV/cell. Number 4: total magnetization 0.00 μB per atom, N(E_F) 8.197 states/eV/cell. Number 5: total magnetization 0.00 μB per atom, N(E_F) 2.502 states/eV/cell. Number 6: total magnetization 1.52 μB per atom, N(E_F) 15.547 states/eV/cell.